1.
Density functional theory data (GGA+U) for a geometry-optimized Ba3NaCo2O6 structure.

Output
Its total energy is -5.635 eV per atom. The calculation puts the spin magnetization at 7.0 μB/cell.

a = 6.161 Å, b = 6.161 Å, c = 6.914 Å
α = 90.00°, β = 90.00°, γ = 120.00°
Fractional positions:
Ba  0.000  0.000  0.000
Ba  0.333  0.667  0.666
Ba  0.667  0.333  0.334
Na  0.000  0.000  0.500
Co  0.333  0.667  0.225
Co  0.667  0.333  0.775
O  0.170  0.341  0.282
O  0.170  0.830  0.282
O  0.341  0.170  0.718
O  0.659  0.830  0.282
O  0.830  0.170  0.718
O  0.830  0.659  0.718

2.
Density functional theory data (GGA+U) for a geometry-optimized BaNaCoO2 structure.

Output
Its total energy is -5.065 eV per atom. The calculation puts the spin magnetization at 4.0 μB/cell.

a = 6.939 Å, b = 6.939 Å, c = 4.437 Å
α = 90.00°, β = 90.00°, γ = 122.22°
Fractional positions:
Ba  0.250  0.750  0.751
Ba  0.750  0.250  0.249
Na  0.250  0.250  0.500
Na  0.750  0.750  0.500
Co  0.000  0.000  0.000
Co  0.500  0.500  0.000
O  0.118  0.882  0.251
O  0.382  0.618  0.251
O  0.618  0.382  0.749
O  0.882  0.118  0.749

3.
Density functional theory data (GGA+U) for a geometry-optimized BaNaCoO3 structure.

Output
Its total energy is -5.449 eV per atom. The calculation puts the spin magnetization at 8.0 μB/cell.

a = 5.706 Å, b = 5.706 Å, c = 7.173 Å
α = 108.64°, β = 108.64°, γ = 71.59°
Fractional positions:
Ba  0.196  0.196  0.151
Ba  0.804  0.804  0.849
Na  0.185  0.815  0.500
Na  0.815  0.185  0.500
Co  0.428  0.428  0.748
Co  0.572  0.572  0.252
O  0.230  0.676  0.179
O  0.236  0.236  0.558
O  0.324  0.770  0.821
O  0.676  0.230  0.179
O  0.764  0.764  0.442
O  0.770  0.324  0.821

4.
Density functional theory data (GGA+U) for a geometry-optimized Ba3NaCo2O8 structure.

Output
Its total energy is -5.786 eV per atom. The calculation puts the spin magnetization at 9.0 μB/cell.

a = 5.856 Å, b = 5.856 Å, c = 7.651 Å
α = 90.00°, β = 90.00°, γ = 120.00°
Fractional positions:
Ba  0.000  0.000  0.000
Ba  0.333  0.667  0.650
Ba  0.667  0.333  0.350
Na  0.000  0.000  0.500
Co  0.333  0.667  0.209
Co  0.667  0.333  0.791
O  0.173  0.346  0.302
O  0.173  0.827  0.302
O  0.333  0.667  0.981
O  0.346  0.173  0.698
O  0.654  0.827  0.302
O  0.667  0.333  0.019
O  0.827  0.173  0.698
O  0.827  0.654  0.698